(1)
Computed, not measured: a relaxed structure of Pm2FeRh at the PBE level of DFT.

```
Pm2FeRh
1.0
3.5208 0.0000 0.0000
0.0000 3.5208 0.0000
0.0000 0.0000 7.0329
Pm Fe Rh
2 1 1
Cartesian
0.0000 0.0000 1.7377
0.0000 0.0000 5.2952
1.7604 1.7604 3.5164
1.7604 1.7604 0.0000
```

Properties
Crystal system: tetragonal
DOS at the Fermi energy (states/eV/f.u.): 6.111
Energy (eV per atom): -6.510

---

(2)
Computed, not measured: a relaxed structure of CaZrZnIn at the PBE level of DFT.

```
CaZrZnIn
1.0
0.0000 3.5869 3.5869
3.5869 0.0000 3.5869
3.5869 3.5869 0.0000
Ca Zr Zn In
1 1 1 1
Cartesian
0.0000 0.0000 0.0000
3.5869 3.5869 3.5869
5.3804 5.3804 5.3804
1.7935 1.7935 1.7935
```

Properties
Crystal system: cubic
DOS at the Fermi energy (states/eV/f.u.): 3.873
Energy (eV per atom): -3.778

---

(3)
Computed, not measured: a relaxed structure of La3Zn5Au6 at the PBE level of DFT.

```
La3Zn5Au6
1.0
4.6033 0.0000 0.0000
0.0000 13.6256 0.0000
0.0000 0.0000 9.3496
La Zn Au
6 10 12
Cartesian
1.1508 0.6952 2.2976
1.1508 6.1175 2.2976
1.1508 10.2192 2.4267
3.4525 3.4064 6.9229
3.4525 7.5080 7.0520
3.4525 12.9303 7.0520
1.1508 1.0772 5.5745
1.1508 5.7356 5.5745
1.1508 8.4168 9.0732
1.1508 10.2192 7.0952
1.1508 12.0215 9.0732
3.4525 1.6040 0.2765
3.4525 3.4064 2.2544
3.4525 5.2087 0.2765
3.4525 7.8899 3.7752
3.4525 12.5484 3.7752
1.1508 1.1796 8.1958
1.1508 3.4064 0.6203
1.1508 3.4064 4.2416
1.1508 5.6332 8.1958
1.1508 8.4130 5.0529
1.1508 12.0253 5.0529
3.4525 1.6002 4.2967
3.4525 5.2125 4.2967
3.4525 7.9924 1.1538
3.4525 10.2192 5.1080
3.4525 10.2192 8.7293
3.4525 12.4460 1.1538
```

Properties
Crystal system: orthorhombic
DOS at the Fermi energy (states/eV/f.u.): 8.631
Energy (eV per atom): -3.502

---

Number 1: energy of formation from the pure elements -0.18 eV per atom. Number 2: energy of formation from the pure elements -0.14 eV per atom. Number 3: energy of formation from the pure elements -0.59 eV per atom.